1.
VASP calculation (GGA-PBE) on crystalline Pr3Al2Si4 at its relaxed geometry.

Energy relative to the lowest polymorph listed for this composition, meV/atom: 41
DOS(E_F), states/eV per cell: 3.23
Formation energy from raw total energies, eV per atom: -0.573
Symmetry: C2/m, No. 12

abc: 4.2039 6.0223 8.7282
angles: 109.43 90.00 110.43
With the nearest neighbours (Å) after each atom.
Positions (direct):
1 Pr 0.6180 0.2361 0.6921  7 Si 2.96-3.21, 3 Al 3.16-3.29
2 Pr 0.0000 0.0000 0.0000  8 Si 3.19-3.32, 4 Al 3.52
3 Pr 0.3820 0.7639 0.3079  7 Si 2.96-3.21, 3 Al 3.16-3.29
4 Al 0.6778 0.3557 0.3232  4 Si 2.48-2.76
5 Al 0.3222 0.6443 0.6768  4 Si 2.48-2.76
6 Si 0.7245 0.4490 0.0551  2 Si 2.46, 1 Al 2.57
7 Si 0.2755 0.5510 0.9449  2 Si 2.46, 1 Al 2.57
8 Si 0.8987 0.7974 0.5933  3 Al 2.48-2.76
9 Si 0.1013 0.2026 0.4067  3 Al 2.48-2.76

***

2.
VASP calculation (GGA-PBE) on crystalline Pr3Al2Si3 at its relaxed geometry.

Energy relative to the lowest polymorph listed for this composition, meV/atom: 0
DOS(E_F), states/eV per cell: 9.86
Formation energy from raw total energies, eV per atom: -0.599
Symmetry: Cmcm, No. 63

abc: 4.2390 6.0035 15.5548
angles: 90.00 90.00 110.67
With the nearest neighbours (Å) after each atom.
Positions (direct):
1 Pr 0.8532 0.7065 0.4080  7 Si 3.21-3.36, 4 Al 3.22-3.30
2 Pr 0.1468 0.2935 0.9080  7 Si 3.21-3.36, 4 Al 3.22-3.30
3 Pr 0.8532 0.7065 0.0920  7 Si 3.21-3.36, 4 Al 3.22-3.30
4 Pr 0.1468 0.2935 0.5920  7 Si 3.21-3.36, 4 Al 3.22-3.30
5 Pr 0.5521 0.1041 0.2500  5 Si 3.04-3.29, 4 Al 3.10
6 Pr 0.4479 0.8959 0.7500  5 Si 3.04-3.29, 4 Al 3.10
7 Al 0.8584 0.7169 0.8800  3 Si 2.48-2.52
8 Al 0.1416 0.2831 0.3800  3 Si 2.48-2.52
9 Al 0.8584 0.7169 0.6200  3 Si 2.48-2.52
10 Al 0.1416 0.2831 0.1200  3 Si 2.48-2.52
11 Si 0.5719 0.1439 0.4450  1 Si 2.35, 2 Al 2.48
12 Si 0.4281 0.8561 0.9450  1 Si 2.35, 2 Al 2.48
13 Si 0.5719 0.1439 0.0550  1 Si 2.35, 2 Al 2.48
14 Si 0.4281 0.8561 0.5550  1 Si 2.35, 2 Al 2.48
15 Si 0.2756 0.5513 0.2500  2 Al 2.52
16 Si 0.7244 0.4487 0.7500  2 Al 2.52

***

3.
VASP calculation (GGA-PBE) on crystalline Pr2AlSi3 at its relaxed geometry.

DOS(E_F), states/eV per cell: 2.07
Formation energy from raw total energies, eV per atom: -0.632
Symmetry: Imm2, No. 44

abc: 4.3109 4.2665 7.6875
angles: 106.11 106.28 90.00
With the nearest neighbours (Å) after each atom.
Positions (direct):
1 Pr 0.1290 0.1290 0.2581  10 Si 3.09-3.26, 2 Al 3.23
2 Pr 0.8701 0.3701 0.7403  8 Si 3.10-3.27, 4 Al 3.28
3 Al 0.4584 0.9584 0.9169  3 Si 2.42-2.45
4 Si 0.7110 0.7110 0.4221  3 Si 2.35-2.41
5 Si 0.5444 0.5444 0.0887  1 Si 2.35, 2 Al 2.45
6 Si 0.2870 0.7870 0.5740  2 Si 2.41, 1 Al 2.42

***

4.
VASP calculation (GGA-PBE) on crystalline Pr12AlSi5 at its relaxed geometry.

DOS(E_F), states/eV per cell: 15.17
Formation energy from raw total energies, eV per atom: -0.448
Symmetry: Immm, No. 71

abc: 8.8079 8.8079 8.8079
angles: 106.70 111.90 109.86
With the nearest neighbours (Å) after each atom.
Positions (direct):
1 Pr 0.5511 0.8201 0.7310  4 Si 3.15-3.32
2 Pr 0.4489 0.1799 0.2690  4 Si 3.15-3.32
3 Pr 0.9110 0.1799 0.7310  4 Si 3.15-3.32
4 Pr 0.0890 0.8201 0.2690  4 Si 3.15-3.32
5 Pr 0.7083 0.6776 0.3860  3 Si 3.01-3.04
6 Pr 0.2917 0.3224 0.6140  3 Si 3.01-3.04
7 Pr 0.2917 0.6776 0.9693  3 Si 3.01-3.04
8 Pr 0.7083 0.3224 0.0307  3 Si 3.01-3.04
9 Pr 0.8019 0.5627 0.7608  3 Si 3.10-3.43, 1 Al 3.40
10 Pr 0.1981 0.4373 0.2392  3 Si 3.10-3.43, 1 Al 3.40
11 Pr 0.1981 0.9589 0.7608  3 Si 3.10-3.43, 1 Al 3.40
12 Pr 0.8019 0.0411 0.2392  3 Si 3.10-3.43, 1 Al 3.40
13 Al 0.0000 0.5000 0.5000  8 Pr 3.40-3.43
14 Si 0.6226 0.6226 0.0000  1 Si 2.48
15 Si 0.3774 0.3774 0.0000  1 Si 2.48
16 Si 0.5000 0.1128 0.6128  1 Si 2.37
17 Si 0.5000 0.8872 0.3872  1 Si 2.37
18 Si 0.0000 0.0000 0.0000  8 Pr 3.22

***

5.
VASP calculation (GGA-PBE) on crystalline Pr3Al2Si3 at its relaxed geometry.

Energy relative to the lowest polymorph listed for this composition, meV/atom: 17
DOS(E_F), states/eV per cell: 11.78
Formation energy from raw total energies, eV per atom: -0.581
Symmetry: Cmcm, No. 63

abc: 4.2280 6.1061 14.7615
angles: 90.00 90.00 110.26
With the nearest neighbours (Å) after each atom.
Positions (direct):
1 Pr 0.9361 0.8722 0.3873  6 Si 3.09-3.18, 3 Al 3.22-3.32
2 Pr 0.0639 0.1278 0.8873  6 Si 3.09-3.18, 3 Al 3.22-3.32
3 Pr 0.9361 0.8722 0.1127  6 Si 3.09-3.18, 3 Al 3.22-3.32
4 Pr 0.0639 0.1278 0.6127  6 Si 3.09-3.18, 3 Al 3.22-3.32
5 Pr 0.6416 0.2833 0.2500  5 Si 3.08-3.35, 4 Al 3.23
6 Pr 0.3584 0.7167 0.7500  5 Si 3.08-3.35, 4 Al 3.23
7 Al 0.7750 0.5501 0.9021  4 Si 2.56-2.71
8 Al 0.2250 0.4499 0.4021  4 Si 2.56-2.71
9 Al 0.7750 0.5501 0.5979  4 Si 2.56-2.71
10 Al 0.2250 0.4499 0.0979  4 Si 2.56-2.71
11 Si 0.6220 0.2439 0.4578  3 Al 2.56-2.71
12 Si 0.3780 0.7561 0.9578  3 Al 2.56-2.71
13 Si 0.6220 0.2439 0.0422  3 Al 2.56-2.71
14 Si 0.3780 0.7561 0.5422  3 Al 2.56-2.71
15 Si 0.3494 0.6987 0.2500  2 Al 2.66
16 Si 0.6506 0.3013 0.7500  2 Al 2.66

***

6.
VASP calculation (GGA-PBE) on crystalline Pr3AlSi4 at its relaxed geometry.

DOS(E_F), states/eV per cell: 2.18
Formation energy from raw total energies, eV per atom: -0.508
Symmetry: Immm, No. 71

abc: 4.5107 5.8275 8.4277
angles: 110.23 105.52 90.00
With the nearest neighbours (Å) after each atom.
Positions (direct):
1 Pr 0.1877 0.1877 0.3754  6 Si 3.02-3.09
2 Pr 0.8123 0.8123 0.6246  6 Si 3.02-3.09
3 Pr 0.0000 0.5000 0.0000  8 Si 3.16
4 Al 0.5000 0.0000 0.0000  4 Si 2.57
5 Si 0.3762 0.5758 0.7525  1 Si 2.33, 1 Al 2.57
6 Si 0.6238 0.4242 0.2475  1 Si 2.33, 1 Al 2.57
7 Si 0.6238 0.8233 0.2475  1 Si 2.33, 1 Al 2.57
8 Si 0.3762 0.1767 0.7525  1 Si 2.33, 1 Al 2.57

***

7.
VASP calculation (GGA-PBE) on crystalline PrAl3Si3 at its relaxed geometry.

DOS(E_F), states/eV per cell: 3.98
Formation energy from raw total energies, eV per atom: 0.143
Symmetry: Pm-3n, No. 223

abc: 6.8896 6.8896 6.8896
angles: 90.00 90.00 90.00
With the nearest neighbours (Å) after each atom.
Positions (direct):
1 Pr 0.5000 0.5000 0.5000  12 Si 3.85, 12 Al 3.85
2 Pr 0.0000 0.0000 0.0000  12 Si 3.85, 12 Al 3.85
3 Si 0.2500 0.0000 0.5000  4 Al 2.44
4 Si 0.0000 0.5000 0.2500  4 Al 2.44
5 Si 0.5000 0.7500 0.0000  4 Al 2.44
6 Si 0.7500 0.0000 0.5000  4 Al 2.44
7 Si 0.0000 0.5000 0.7500  4 Al 2.44
8 Si 0.5000 0.2500 0.0000  4 Al 2.44
9 Al 0.0000 0.2500 0.5000  4 Si 2.44
10 Al 0.0000 0.7500 0.5000  4 Si 2.44
11 Al 0.5000 0.0000 0.7500  4 Si 2.44
12 Al 0.7500 0.5000 0.0000  4 Si 2.44
13 Al 0.5000 0.0000 0.2500  4 Si 2.44
14 Al 0.2500 0.5000 0.0000  4 Si 2.44

***

8.
VASP calculation (GGA-PBE) on crystalline Pr2Al3Si4 at its relaxed geometry.

DOS(E_F), states/eV per cell: 7.24
Formation energy from raw total energies, eV per atom: -0.377
Symmetry: Cmce, No. 64

abc: 5.9865 7.8323 8.0549
angles: 90.00 111.81 90.00
With the nearest neighbours (Å) after each atom.
Positions (direct):
1 Pr 0.1129 0.5850 0.2258  8 Si 3.08-3.21, 4 Al 3.23-3.39
2 Pr 0.8871 0.4150 0.7742  8 Si 3.08-3.21, 4 Al 3.23-3.39
3 Pr 0.3871 0.0850 0.7742  8 Si 3.08-3.21, 4 Al 3.23-3.39
4 Pr 0.6129 0.9150 0.2258  8 Si 3.08-3.21, 4 Al 3.23-3.39
5 Al 0.0000 0.0000 0.0000  6 Si 2.57-2.83
6 Al 0.5000 0.5000 0.0000  6 Si 2.57-2.83
7 Al 0.5336 0.7500 0.5671  3 Si 2.50-2.61
8 Al 0.9664 0.2500 0.4329  3 Si 2.50-2.61
9 Al 0.4664 0.2500 0.4329  3 Si 2.50-2.61
10 Al 0.0336 0.7500 0.5671  3 Si 2.50-2.61
11 Si 0.7006 0.7500 0.9012  3 Al 2.50-2.57
12 Si 0.7994 0.2500 0.0988  3 Al 2.50-2.57
13 Si 0.2994 0.2500 0.0988  3 Al 2.50-2.57
14 Si 0.2006 0.7500 0.9012  3 Al 2.50-2.57
15 Si 0.1874 0.9522 0.3747  5 Al 2.61-2.83
16 Si 0.8126 0.0478 0.6253  5 Al 2.61-2.83
17 Si 0.3126 0.4522 0.6253  5 Al 2.61-2.83
18 Si 0.6874 0.5478 0.3747  5 Al 2.61-2.83

***

9.
VASP calculation (GGA-PBE) on crystalline Pr3Al3Si at its relaxed geometry.

DOS(E_F), states/eV per cell: 5.75
Formation energy from raw total energies, eV per atom: -0.504
Symmetry: Imm2, No. 44

abc: 4.2565 4.4179 10.0746
angles: 102.67 102.20 90.00
With the nearest neighbours (Å) after each atom.
Positions (direct):
1 Pr 0.3175 0.8175 0.6351  2 Si 3.16, 5 Al 3.19-3.44
2 Pr 0.6860 0.1860 0.3719  7 Al 3.20-3.39
3 Pr 0.9968 0.9968 0.9936  4 Si 3.29, 8 Al 3.32-3.50
4 Al 0.1384 0.6384 0.2768  2 Al 2.57
5 Al 0.8627 0.3627 0.7254  2 Si 2.54
6 Al 0.5635 0.5635 0.1271  1 Si 2.47, 2 Al 2.57
7 Si 0.4351 0.4351 0.8701  3 Al 2.47-2.54

***

10.
VASP calculation (GGA-PBE) on crystalline Pr5AlSi2 at its relaxed geometry.

DOS(E_F), states/eV per cell: 14.16
Formation energy from raw total energies, eV per atom: -0.478
Symmetry: I4/mcm, No. 140

abc: 7.9356 7.9356 9.1342
angles: 115.75 115.75 90.00
With the nearest neighbours (Å) after each atom.
Positions (direct):
1 Pr 0.5372 0.6786 0.7158  3 Si 3.10-3.14, 2 Al 3.30
2 Pr 0.8214 0.9628 0.2842  3 Si 3.10-3.14, 2 Al 3.30
3 Pr 0.0000 0.0000 0.0000  4 Si 3.20, 8 Pr 3.56
4 Pr 0.5000 0.5000 0.0000  4 Si 3.20, 8 Pr 3.56
5 Pr 0.1786 0.0372 0.7158  3 Si 3.10-3.14, 2 Al 3.30
6 Pr 0.6786 0.1786 0.7158  3 Si 3.10-3.14, 2 Al 3.30
7 Pr 0.0372 0.5372 0.7158  3 Si 3.10-3.14, 2 Al 3.30
8 Pr 0.3214 0.8214 0.2842  3 Si 3.10-3.14, 2 Al 3.30
9 Pr 0.9628 0.4628 0.2842  3 Si 3.10-3.14, 2 Al 3.30
10 Pr 0.4628 0.3214 0.2842  3 Si 3.10-3.14, 2 Al 3.30
11 Al 0.7500 0.7500 0.5000  10 Pr 3.30-3.60
12 Al 0.2500 0.2500 0.5000  10 Pr 3.30-3.60
13 Si 0.1131 0.3869 0.0000  1 Si 2.54
14 Si 0.6131 0.1131 0.0000  1 Si 2.54
15 Si 0.3869 0.8869 0.0000  1 Si 2.54
16 Si 0.8869 0.6131 0.0000  1 Si 2.54

***

> DOS(E_F) of number 6 (Pr3AlSi4)?

2.18 states/eV per cell